Below is an optimized crystal structure of KMnNi, with properties calculated at the PBE-GGA level.

Lattice parameters (Å, degrees): 3.9996 4.9791 9.0663 89.99 90.00 90.00
Last column: nearest neighbours and their distance in Å.
Fractional positions:
Ni (0.3750, 0.4379, 0.8543)  2 Ni 2.38-2.60, 4 Mn 2.40-2.48
Ni (0.3750, 0.9164, 0.8551)  2 Ni 2.38-2.60, 4 Mn 2.40-2.48
K (0.3751, 0.1774, 0.5370)  2 Ni 3.16
K (0.8751, 0.6780, 0.1437)  3 Mn 3.40-3.48, 4 Ni 3.50-3.51
Mn (0.8750, 0.6776, 0.7599)  4 Ni 2.48, 2 Mn 2.75
Mn (0.8750, 0.1776, 0.8880)  4 Ni 2.40

- energy (Ry/atom) = -0.3610
- symmetry = Pm, No. 6
- energy of formation from the pure elements (eV per atom) = 0.438
- total magnetization (μB per cell) = 8.616